The following is a DFT calculation (PBE-GGA) of Pm2MgCu after structural relaxation.

Geometry as POSCAR:
```
Pm2MgCu
1.0
0.000 3.719 3.719
3.719 0.000 3.719
3.719 3.719 0.000
Pm Mg Cu
2 1 1
Direct
0.250 0.250 0.250
0.750 0.750 0.750
0.000 0.000 0.000
0.500 0.500 0.500
```

Summary:
- Total moment: 0.000 μB/cell
- ΔE_f: -0.044 eV/atom
- VASP energy: -15.37 eV for the cell shown
- E above lowest polymorph: 0.071 eV/atom
- D(E_F): 1.119 states/eV/atom

---

The following is a DFT calculation (PBE-GGA) of Pm2MgCu2 after structural relaxation.

Geometry as POSCAR:
```
Pm2MgCu2
1.0
7.766 0.000 0.000
0.000 7.766 0.000
0.000 0.000 3.829
Pm Mg Cu
4 2 4
Direct
0.170 0.330 0.000
0.330 0.830 0.000
0.670 0.170 0.000
0.830 0.670 0.000
0.000 0.000 0.500
0.500 0.500 0.500
0.123 0.623 0.500
0.377 0.123 0.500
0.623 0.877 0.500
0.877 0.377 0.500
```

Summary:
- Total moment: 0.000 μB/cell
- ΔE_f: -0.209 eV/atom
- VASP energy: -40.66 eV for the cell shown
- D(E_F): 0.823 states/eV/atom

---

The following is a DFT calculation (PBE-GGA) of Pm2MgCu5 after structural relaxation.

Geometry as POSCAR:
```
Pm2MgCu5
1.0
-2.366 2.366 6.499
2.366 -2.366 6.499
2.366 2.366 -6.499
Pm Mg Cu
2 1 5
Direct
0.231 0.231 0.000
0.769 0.769 0.000
0.500 0.500 0.000
0.000 0.000 0.000
0.097 0.597 0.500
0.403 0.903 0.500
0.597 0.097 0.500
0.903 0.403 0.500
```

Summary:
- Total moment: 0.000 μB/cell
- ΔE_f: -0.058 eV/atom
- VASP energy: -32.04 eV for the cell shown
- D(E_F): 0.479 states/eV/atom

---

The following is a DFT calculation (PBE-GGA) of PmMgCu2 after structural relaxation.

Geometry as POSCAR:
```
PmMgCu2
1.0
4.904 0.000 0.000
0.000 4.904 0.000
0.000 0.000 3.226
Pm Mg Cu
1 1 2
Direct
0.000 0.000 0.000
0.500 0.500 0.000
0.000 0.500 0.500
0.500 0.000 0.500
```

Summary:
- Total moment: 0.000 μB/cell
- ΔE_f: -0.040 eV/atom
- VASP energy: -14.70 eV for the cell shown
- D(E_F): 0.881 states/eV/atom

---

The following is a DFT calculation (PBE-GGA) of PmMg2Cu4 after structural relaxation.

Geometry as POSCAR:
```
PmMg2Cu4
1.0
-3.336 3.336 2.694
3.336 -3.336 2.694
3.336 3.336 -2.694
Pm Mg Cu
1 2 4
Direct
0.000 0.000 0.000
0.250 0.750 0.500
0.750 0.250 0.500
0.314 0.314 0.628
0.314 0.686 0.000
0.686 0.314 0.000
0.686 0.686 0.372
```

Summary:
- Total moment: 0.000 μB/cell
- ΔE_f: -0.174 eV/atom
- VASP energy: -25.54 eV for the cell shown
- D(E_F): 0.526 states/eV/atom

---

The following is a DFT calculation (PBE-GGA) of Pm3MgCu2 after structural relaxation.

Geometry as POSCAR:
```
Pm3MgCu2
1.0
3.587 0.000 0.000
0.000 3.587 0.000
0.000 0.000 11.543
Pm Mg Cu
3 1 2
Direct
0.000 0.000 0.000
0.000 0.000 0.305
0.000 0.000 0.695
0.500 0.500 0.500
0.500 0.500 0.158
0.500 0.500 0.842
```

Summary:
- Total moment: 0.000 μB/cell
- ΔE_f: -0.133 eV/atom
- VASP energy: -24.84 eV for the cell shown
- D(E_F): 0.972 states/eV/atom

---

The following is a DFT calculation (PBE-GGA) of PmMg3Cu3 after structural relaxation.

Geometry as POSCAR:
```
PmMg3Cu3
1.0
8.542 0.000 0.000
-4.271 7.398 0.000
0.000 0.000 4.350
Pm Mg Cu
2 6 6
Direct
0.333 0.667 0.250
0.667 0.333 0.750
0.040 0.770 0.750
0.230 0.270 0.750
0.270 0.040 0.250
0.730 0.960 0.750
0.770 0.730 0.250
0.960 0.230 0.250
0.053 0.457 0.750
0.405 0.947 0.750
0.457 0.405 0.250
0.543 0.595 0.750
0.595 0.053 0.250
0.947 0.543 0.250
```

Summary:
- Total moment: 0.000 μB/cell
- ΔE_f: -0.123 eV/atom
- VASP energy: -45.36 eV for the cell shown
- D(E_F): 0.586 states/eV/atom

---

The following is a DFT calculation (PBE-GGA) of Pm3Mg4Cu4 after structural relaxation.

Geometry as POSCAR:
```
Pm3Mg4Cu4
1.0
-1.934 4.094 7.565
1.934 -4.094 7.565
1.934 4.094 -7.565
Pm Mg Cu
3 4 4
Direct
0.000 0.000 0.000
0.387 0.887 0.500
0.613 0.113 0.500
0.015 0.327 0.688
0.361 0.673 0.688
0.639 0.327 0.312
0.985 0.673 0.312
0.238 0.238 0.000
0.302 0.500 0.802
0.698 0.500 0.198
0.762 0.762 0.000
```

Summary:
- Total moment: 0.000 μB/cell
- ΔE_f: -0.142 eV/atom
- VASP energy: -38.58 eV for the cell shown
- D(E_F): 0.811 states/eV/atom